Entry 1:
Ti3MnH: PBEsol geometry, meta-GGA SCAN.

- Calculated total energy: -14.129 eV per atom
- SG: Pm-3m, No. 221

```
Ti3MnH
1.0
3.9780 0.0000 0.0000
0.0000 3.9780 0.0000
0.0000 0.0000 3.9780
Ti Mn H
3 1 1
Cartesian
0.0000 0.0000 1.9890
0.0000 1.9890 0.0000
1.9890 0.0000 0.0000
1.9890 1.9890 1.9890
0.0000 0.0000 0.0000
```



Entry 2:
MgAsCl2: PBEsol geometry, meta-GGA SCAN.

- SG: I-42d, No. 122
- ΔE_f (raw): -0.7187 eV/atom

```
MgAsCl2
1.0
-3.7216 3.7216 4.5688
3.7216 -3.7216 4.5688
3.7216 3.7216 -4.5688
Mg As Cl
2 2 4
Cartesian
0.0000 0.0000 0.0000
0.0000 3.7216 2.2844
3.7216 0.0000 2.2844
0.0000 0.0000 4.5688
0.8936 1.8608 1.1422
-1.8608 2.8280 3.4266
-0.8936 5.5825 1.1422
1.8608 4.6153 3.4266
```



Entry 3:
BeAu2Se: PBEsol geometry, meta-GGA SCAN.

- SG: P4/mmm, No. 123
- ΔE_f (raw): 0.2969 eV/atom

```
BeAu2Se
1.0
3.8947 0.0000 0.0000
0.0000 3.8947 0.0000
0.0000 0.0000 4.2546
Be Au Se
1 2 1
Cartesian
0.0000 0.0000 0.0000
0.0000 1.9474 2.1273
1.9474 0.0000 2.1273
1.9474 1.9474 0.0000
```



Entry 4:
Cs4PbO3: PBEsol geometry, meta-GGA SCAN.

- SG: P2_1, No. 4
- ΔE_f (raw): -1.2829 eV/atom

```
Cs4PbO3
1.0
11.5273 0.0000 0.0000
0.0000 7.2469 0.0000
-4.1588 0.0000 11.0752
Cs Pb O
16 4 12
Cartesian
-1.5707 0.0000 4.5625
-3.3915 1.7385 10.3288
-1.8601 5.1461 9.8724
0.7399 2.8543 3.5204
1.1152 4.6310 7.2572
3.7374 2.5425 1.3433
2.7538 1.1014 6.3325
4.9803 6.0762 1.1070
2.3883 2.4527 9.9681
4.6148 4.7248 4.7427
3.6311 6.1659 9.7319
6.2533 1.0076 3.8179
6.6287 6.4777 7.5548
9.2286 1.5227 1.2028
10.7601 5.3619 0.7463
8.9393 3.6234 6.5127
-0.5220 1.0699 8.0394
1.7186 6.4826 3.0939
5.6499 2.8592 7.9813
7.8906 4.6933 3.0358
0.3644 0.5610 1.9378
0.0225 1.9889 6.1113
2.1269 4.9271 1.6146
-0.4791 2.8996 9.2245
1.3431 0.1306 8.6239
3.5987 0.3183 3.2242
3.7699 3.9417 7.8510
6.0254 3.7540 2.4513
7.8476 6.5231 1.8507
5.2416 1.3036 9.4605
7.3460 5.6123 4.9639
7.0041 4.1844 9.1374
```



Entry 5:
Na3Mg4Mo6O24: PBEsol geometry, meta-GGA SCAN.

- SG: P-1, No. 2
- ΔE_f (raw): -2.3516 eV/atom

```
Na3Mg4Mo6O24
1.0
6.9779 0.0000 0.0000
-2.2586 8.3759 0.0000
-2.6981 -3.9258 9.1866
Na Mg Mo O
3 4 6 24
Cartesian
0.0000 0.0000 0.0000
-0.5551 5.5415 2.7927
2.5762 -1.0914 6.3938
-2.6920 3.7936 4.7321
1.2998 3.4498 0.9327
0.7213 1.0003 8.2539
4.7131 0.6564 4.4545
-2.7721 1.7237 7.6777
-1.0201 -1.6343 6.9875
1.2329 0.6515 3.3927
0.7882 3.7985 5.7939
3.0412 6.0844 2.1991
4.7932 2.7264 1.5089
-2.1761 -0.6341 6.0614
-2.4786 2.1414 5.9578
-0.7043 3.6730 1.3647
-2.9197 5.2614 6.1369
-3.0632 3.1807 8.5165
-1.5833 -1.9309 8.6394
0.8462 -0.7391 2.3964
-0.1950 0.9773 4.3792
-1.3895 0.8514 8.4736
-0.6181 4.2044 4.7780
1.5436 1.9925 2.2958
0.4810 -0.7165 7.0751
1.5401 5.1666 2.1115
0.4775 2.4576 6.8908
2.6392 0.2457 4.4086
3.4106 3.5987 0.7130
2.2161 3.4728 4.8074
1.1749 5.1892 6.7902
3.6044 6.3810 0.5472
5.0843 1.2694 0.6700
4.9408 -0.8114 3.0497
2.7254 0.7771 7.8218
4.4997 2.3087 3.2288
4.1972 5.0842 3.1252
```



Entry 6:
Li4CaAg: PBEsol geometry, meta-GGA SCAN.

- SG: F-43m, No. 216
- ΔE_f: -0.13 eV per formula unit

```
Li4CaAg
1.0
0.0000 3.9089 3.9089
3.9089 0.0000 3.9089
3.9089 3.9089 0.0000
Li Ca Ag
4 1 1
Cartesian
0.9604 0.9604 0.9604
2.9485 2.9485 0.9604
2.9485 0.9604 2.9485
0.9604 2.9485 2.9485
3.9089 3.9089 3.9089
5.8634 5.8634 5.8634
```



Entry 7:
K2InRu: PBEsol geometry, meta-GGA SCAN.

- SG: I4/mmm, No. 139
- ΔE_f: 2.75 eV per formula unit

```
K2InRu
1.0
-2.0478 2.0478 5.6237
2.0478 -2.0478 5.6237
2.0478 2.0478 -5.6237
K In Ru
2 1 1
Cartesian
2.0478 0.0000 2.8119
0.0000 2.0478 2.8119
0.0000 0.0000 0.0000
0.0000 0.0000 5.6237
```



Entry 8:
Al2InRu: PBEsol geometry, meta-GGA SCAN.

- SG: I4/mmm, No. 139
- ΔE_f: -0.82 eV per formula unit

```
Al2InRu
1.0
-1.9847 1.9847 3.9765
1.9847 -1.9847 3.9765
1.9847 1.9847 -3.9765
Al In Ru
2 1 1
Cartesian
1.9847 0.0000 1.9882
0.0000 1.9847 1.9882
0.0000 0.0000 0.0000
0.0000 0.0000 3.9765
```



Entry 9:
MnReAs2: PBEsol geometry, meta-GGA SCAN.

- SG: R3m, No. 160
- ΔE_f: 0.38 eV per formula unit

```
MnReAs2
1.0
1.4074 0.8125 9.5947
-1.4074 0.8125 9.5947
0.0000 -1.6251 9.5947
Mn Re As
1 1 2
Cartesian
0.0000 0.0000 0.0000
0.0000 0.0000 21.1586
0.0000 0.0000 7.7550
0.0000 0.0000 13.6401
```



Entry 10:
SrCoP2: PBEsol geometry, meta-GGA SCAN.

- SG: Fm-3m, No. 225
- ΔE_f: 0.42 eV per formula unit

```
SrCoP2
1.0
0.0000 3.2515 3.2515
3.2515 0.0000 3.2515
3.2515 3.2515 0.0000
Sr Co P
1 1 2
Cartesian
0.0000 0.0000 0.0000
3.2515 3.2515 3.2515
1.6258 1.6258 1.6258
4.8773 4.8773 4.8773
```



Entry 11:
Sc2ZnI: PBEsol geometry, meta-GGA SCAN.

- SG: R-3m, No. 166
- ΔE_f (raw): 0.2182 eV/atom

```
Sc2ZnI
1.0
1.7096 0.9871 10.1053
-1.7096 0.9871 10.1053
0.0000 -1.9741 10.1053
Sc Zn I
2 1 1
Cartesian
0.0000 0.0000 2.7726
0.0000 0.0000 27.5434
0.0000 0.0000 0.0000
0.0000 0.0000 15.1580
```



Entry 12:
Sr3Hg: PBEsol geometry, meta-GGA SCAN.

- SG: Pnma, No. 62
- ΔE_f: -1.55 eV per formula unit

```
Sr3Hg
1.0
8.4414 0.0000 0.0000
0.0000 10.8314 0.0000
0.0000 0.0000 7.3016
Sr Hg
12 4
Cartesian
0.2846 2.7078 1.0207
1.4940 0.6873 4.8308
1.4940 4.7284 4.8308
2.7267 6.1030 1.1800
2.7267 10.1440 1.1800
3.9361 8.1235 4.6715
4.5054 2.7078 2.6301
5.7147 0.6873 6.1217
5.7147 4.7284 6.1217
6.9474 6.1030 2.4708
6.9474 10.1440 2.4708
8.1568 8.1235 6.2809
1.0164 8.1235 3.2555
3.2043 2.7078 6.9063
5.2371 8.1235 0.3953
7.4250 2.7078 4.0461
```



Entry 13:
ScAu5: PBEsol geometry, meta-GGA SCAN.

- SG: C2/m, No. 12
- ΔE_f: -2.99 eV per formula unit

```
ScAu5
1.0
4.5980 -2.0206 0.0000
4.5980 2.0206 0.0000
-1.7238 0.0000 5.5767
Sc Au
1 5
Cartesian
0.0000 0.0000 0.0000
-0.8619 0.0000 2.7884
2.7803 0.0000 0.9169
1.9557 0.0000 3.7364
5.5166 0.0000 1.8403
4.6920 0.0000 4.6598
```



Entry 14:
Mn3PdSe: PBEsol geometry, meta-GGA SCAN.

- SG: Pm-3m, No. 221
- ΔE_f (raw): 0.2167 eV/atom

```
Mn3PdSe
1.0
4.4225 0.0000 0.0000
0.0000 4.4225 0.0000
0.0000 0.0000 4.4225
Mn Pd Se
3 1 1
Cartesian
0.0000 0.0000 2.2112
0.0000 2.2112 0.0000
2.2112 0.0000 0.0000
2.2112 2.2112 2.2112
0.0000 0.0000 0.0000
```



Entry 15:
CsBa3Cl: PBEsol geometry, meta-GGA SCAN.

- SG: Pm-3m, No. 221
- ΔE_f (raw): -0.6178 eV/atom

```
CsBa3Cl
1.0
6.4218 0.0000 0.0000
0.0000 6.4218 0.0000
0.0000 0.0000 6.4218
Cs Ba Cl
1 3 1
Cartesian
0.0000 0.0000 0.0000
0.0000 3.2109 3.2109
3.2109 0.0000 3.2109
3.2109 3.2109 0.0000
3.2109 3.2109 3.2109
```



Entry 16:
MgTl2Cd: PBEsol geometry, meta-GGA SCAN.

- SG: Pm, No. 6
- ΔE_f: 0.00 eV per formula unit

```
MgTl2Cd
1.0
3.3606 0.0000 0.0000
0.0000 5.4381 0.0000
-0.0164 0.0000 5.4187
Mg Tl Cd
1 2 1
Cartesian
0.0000 0.0000 0.0000
0.0049 2.7191 3.6074
1.6805 0.0000 2.6703
1.6907 2.7191 0.8572
```



Entry 17:
Co3Cu: PBEsol geometry, meta-GGA SCAN.

- SG: R-3m, No. 166
- ΔE_f: 0.30 eV per formula unit

```
Co3Cu
1.0
1.2284 0.7092 8.1060
-1.2284 0.7092 8.1060
0.0000 -1.4184 8.1060
Co Cu
3 1
Cartesian
0.0000 0.0000 0.0000
0.0000 0.0000 6.1396
0.0000 0.0000 18.1784
0.0000 0.0000 12.1590
```



Entry 18:
SrTaPb2: PBEsol geometry, meta-GGA SCAN.

- SG: Pmmm, No. 47
- ΔE_f: 1.54 eV per formula unit

```
SrTaPb2
1.0
3.2219 0.0000 0.0000
0.0000 5.3087 0.0000
0.0000 0.0000 6.0859
Sr Ta Pb
1 1 2
Cartesian
0.0000 0.0000 0.0000
1.6109 2.6544 3.0429
0.0000 0.0000 3.0429
1.6109 2.6544 0.0000
```



Entry 19:
NbSI2: PBEsol geometry, meta-GGA SCAN.

- SG: I-42d, No. 122
- ΔE_f (raw): -0.3816 eV/atom

```
NbSI2
1.0
-5.1585 5.1585 2.3390
5.1585 -5.1585 2.3390
5.1585 5.1585 -2.3390
Nb S I
2 2 4
Cartesian
0.0000 0.0000 0.0000
0.0000 5.1585 1.1695
5.1585 0.0000 1.1695
0.0000 0.0000 2.3390
-1.0691 2.5792 0.5847
2.5792 4.0894 1.7542
1.0691 7.7377 0.5847
-2.5792 6.2276 1.7542
```



Entry 20:
NbCuAs2Se: PBEsol geometry, meta-GGA SCAN.

- SG: P4/mmm, No. 123
- ΔE_f (raw): 0.6736 eV/atom

```
NbCuAs2Se
1.0
4.5462 0.0000 0.0000
0.0000 4.5462 0.0000
0.0000 0.0000 4.6796
Nb Cu As Se
1 1 2 1
Cartesian
0.0000 0.0000 0.0000
2.2731 2.2731 2.3398
0.0000 2.2731 2.3398
2.2731 0.0000 2.3398
2.2731 2.2731 0.0000
```



Entry 21:
Nd3Ti12Bi13O48: PBEsol geometry, meta-GGA SCAN.

- SG: P1, No. 1
- ΔE_f (raw): -2.4913 eV/atom

```
Nd3Ti12Bi13O48
1.0
5.3865 0.0000 0.0000
0.0102 10.7673 0.0000
2.6234 -0.0025 16.4562
Nd Ti Bi O
3 12 13 48
Cartesian
0.0000 0.0000 0.0000
0.0465 5.3855 0.0286
5.3192 2.7427 16.4496
2.7295 2.7107 14.3593
2.7395 8.0747 14.3411
2.7033 8.0903 10.1253
2.7036 2.7087 10.1097
2.6886 0.0592 2.0544
2.7027 5.3935 2.0765
5.4165 5.4293 14.3688
5.4183 0.0331 14.3378
5.3848 0.0344 10.1271
5.3993 5.4158 10.1152
5.3908 2.7031 2.0446
5.4508 8.0919 2.0932
2.9194 0.0243 12.1721
2.9399 5.4073 12.1782
3.0120 10.6885 7.3908
3.0132 5.3000 7.3907
3.0085 2.6148 4.8171
3.0100 7.9924 4.8278
2.8916 8.1434 0.1363
5.6256 2.7254 12.1633
5.6334 8.0807 12.1865
5.6992 2.8259 7.3895
5.7052 8.2124 7.3908
5.6959 0.1379 4.8170
5.7092 5.5177 4.8239
2.6634 3.0368 16.2394
2.5123 7.6866 12.3972
2.5285 2.3449 12.4166
1.5721 1.3994 6.1261
1.5769 4.0918 6.0766
1.5882 6.7823 6.1339
1.5875 9.4742 6.0730
1.2216 9.5652 1.8073
1.2565 4.1447 1.8455
1.3837 6.8016 1.5017
1.3716 1.4092 1.4335
3.6624 6.4517 14.5738
2.6877 3.0281 8.3692
2.6959 8.4227 8.3877
3.7343 1.1167 14.6748
4.1768 9.2339 14.0650
4.2711 3.7688 14.1223
2.6548 0.3532 3.8015
3.6887 1.0821 10.2316
3.6954 6.4653 10.2501
2.6884 5.6917 3.8270
4.1297 9.2776 10.7342
4.1410 3.8800 10.6985
5.3018 5.0994 16.2334
5.4265 10.4583 16.2172
5.1986 0.4494 12.4012
5.2148 5.7689 12.3992
4.2656 1.3454 6.1276
4.2798 6.7291 6.1326
4.2747 9.4206 6.0774
4.2741 4.0358 6.0714
3.9076 9.3173 1.8827
3.9517 3.9724 1.8092
4.0619 1.3195 1.4517
4.0920 6.6953 1.4932
5.3816 5.0967 8.3736
6.3752 7.0297 14.5814
5.3917 10.4697 8.3878
6.4270 1.6225 14.6384
6.9119 9.6979 14.0168
6.9525 4.3417 14.1531
5.3514 2.3941 3.7961
6.3854 7.0446 10.2443
6.3897 1.6540 10.2512
5.4217 7.8154 3.8406
6.8228 9.6128 10.7347
6.8341 4.2373 10.6975
7.8688 8.4054 16.2149
```



no.,magnetic moment (μB/cell)
1,3.318
2,6.000
3,0.000
4,0.000
5,1.305
6,0.061
7,0.726
8,0.000
9,1.765
10,1.610
11,0.001
12,1.209
13,0.000
14,11.009
15,2.404
16,0.000
17,5.307
18,0.000
19,1.983
20,1.868
21,0.000